First-principles (PBE-GGA) data for a relaxed Pm2DyHo crystal, as listed in the Alexandria database.

Values from the calculation:
- Calculated volume: 32.62 Å³ per atom
- D(E_F): 4.63 states/eV/f.u.
- Magnetization: 0.00 Bohr magnetons per cell
- Calculated total energy: -4.657 eV/atom
- Formation energy: 5 kJ/mol of formula units
- Space group: R-3m (166)

Unit cell a=3.5942 b=3.5942 c=11.8450 alpha=81.27 beta=81.27 gamma=60.00
Fractional coordinates of all 4 atoms:
Ho  0.0000  0.0000  0.0000
Pm  0.2502  0.2502  0.2495
Pm  0.7498  0.7498  0.7505
Dy  0.5000  0.5000  0.5000

***

First-principles (PBE-GGA) data for a relaxed PmDy5Ho7 crystal, as listed in the Alexandria database.

Values from the calculation:
- Calculated volume: 32.66 Å³ per atom
- D(E_F): 23.50 states/eV/f.u.
- Magnetization: 0.00 Bohr magnetons per cell
- Calculated total energy: -4.348 eV/atom
- Formation energy: 316 kJ/mol of formula units
- Space group: Imm2 (44)

Unit cell a=6.6636 b=8.6527 c=8.6527 alpha=79.42 beta=67.35 gamma=67.35
Fractional coordinates of all 13 atoms:
Pm  0.9674  0.0326  0.0326
Dy  0.7699  0.7301  0.7301
Dy  0.0009  0.4607  0.0034
Dy  0.5350  0.4607  0.0034
Dy  0.5350  0.0034  0.4607
Dy  0.0009  0.0034  0.4607
Ho  0.5185  0.8117  0.1513
Ho  0.2716  0.7284  0.7284
Ho  0.2674  0.2326  0.2326
Ho  0.5767  0.4233  0.4233
Ho  0.0190  0.3116  0.6504
Ho  0.5185  0.1513  0.8117
Ho  0.0190  0.6504  0.3116

***

First-principles (PBE-GGA) data for a relaxed Pm3Dy5Ho crystal, as listed in the Alexandria database.

Values from the calculation:
- Calculated volume: 32.68 Å³ per atom
- D(E_F): 10.81 states/eV/f.u.
- Magnetization: 0.00 Bohr magnetons per cell
- Calculated total energy: -4.378 eV/atom
- Formation energy: 235 kJ/mol of formula units
- Space group: I4/mcm (140)

Unit cell a=8.7145 b=8.7145 c=9.8982 alpha=116.12 beta=116.12 gamma=90.00
Fractional coordinates of all 18 atoms:
Ho  0.2500  0.7500  0.5000
Ho  0.7500  0.2500  0.5000
Dy  0.3478  0.8478  0.2756
Dy  0.9278  0.4278  0.2756
Dy  0.0722  0.5722  0.7244
Dy  0.5000  0.5000  0.0000
Dy  0.0000  0.0000  0.0000
Dy  0.6522  0.1522  0.7244
Dy  0.8478  0.9278  0.2756
Dy  0.1522  0.0722  0.7244
Dy  0.5722  0.6522  0.7244
Dy  0.4278  0.3478  0.2756
Pm  0.1167  0.3833  0.0000
Pm  0.6167  0.1167  0.0000
Pm  0.2500  0.2500  0.5000
Pm  0.7500  0.7500  0.5000
Pm  0.8833  0.6167  0.0000
Pm  0.3833  0.8833  0.0000